1.
# LaCoW2 (PBE, relaxed)
# Energy relative to the lowest polymorph listed for this composition: 0.2161 eV/atom
# ΔH_f (0 K): 0.669 eV/atom
data_LaCoW2
_chemical_formula_sum 'La1 Co1 W2'
_space_group_name_H-M_alt 'P 1 2/m 1'
_space_group_IT_number 10
_space_group_name_Hall '-P 2y'
_cell_length_a 4.377
_cell_length_b 4.527
_cell_length_c 4.394
_cell_angle_alpha 90.00
_cell_angle_beta 110.91
_cell_angle_gamma 90.00
loop_
_atom_site_label
_atom_site_type_symbol
_atom_site_fract_x
_atom_site_fract_y
_atom_site_fract_z
La1 La 0.000 0.000 0.000
Co1 Co 0.500 0.000 0.500
W1 W 0.329 0.500 0.670

2.
# La2CoW (PBE, relaxed)
# Energy relative to the lowest polymorph listed for this composition: 0.0726 eV/atom
# ΔH_f (0 K): 0.280 eV/atom
data_La2CoW
_chemical_formula_sum 'La2 Co1 W1'
_space_group_name_H-M_alt 'P 4 m m'
_space_group_IT_number 99
_space_group_name_Hall 'P 4 -2'
_cell_length_a 3.189
_cell_length_b 3.189
_cell_length_c 9.142
_cell_angle_alpha 90.00
_cell_angle_beta 90.00
_cell_angle_gamma 90.00
loop_
_atom_site_label
_atom_site_type_symbol
_atom_site_fract_x
_atom_site_fract_y
_atom_site_fract_z
La1 La 0.000 0.000 0.000
La2 La 0.500 0.500 0.388
Co1 Co 0.500 0.500 0.761
W1 W 0.000 0.000 0.641

3.
# LaCo2W (PBE, relaxed)
# Energy relative to the lowest polymorph listed for this composition: 0.0000 eV/atom
# ΔH_f (0 K): 0.081 eV/atom
data_LaCo2W
_chemical_formula_sum 'La3 Co6 W3'
_space_group_name_H-M_alt 'R -3 m'
_space_group_IT_number 166
_space_group_name_Hall '-R 3 2"'
_cell_length_a 4.1316
_cell_length_b 4.1316
_cell_length_c 15.5408
_cell_angle_alpha 90.00
_cell_angle_beta 90.00
_cell_angle_gamma 120.00
loop_
_atom_site_label
_atom_site_type_symbol
_atom_site_fract_x
_atom_site_fract_y
_atom_site_fract_z
La1 La 0.0000 0.0000 0.0000
Co1 Co 0.0000 0.0000 0.1988
W1 W 0.0000 0.0000 0.5000

4.
# LaCo2W (PBE, relaxed)
# Energy relative to the lowest polymorph listed for this composition: 0.3140 eV/atom
# ΔH_f (0 K): 0.395 eV/atom
data_LaCo2W
_chemical_formula_sum 'La1 Co2 W1'
_space_group_name_H-M_alt 'P 4 m m'
_space_group_IT_number 99
_space_group_name_Hall 'P 4 -2'
_cell_length_a 3.124
_cell_length_b 3.124
_cell_length_c 7.062
_cell_angle_alpha 90.00
_cell_angle_beta 90.00
_cell_angle_gamma 90.00
loop_
_atom_site_label
_atom_site_type_symbol
_atom_site_fract_x
_atom_site_fract_y
_atom_site_fract_z
La1 La 0.000 0.000 0.000
Co1 Co 0.000 0.000 0.514
Co2 Co 0.500 0.500 0.695
W1 W 0.500 0.500 0.351

5.
# La2CoW (PBE, relaxed)
# Energy relative to the lowest polymorph listed for this composition: 0.0525 eV/atom
# ΔH_f (0 K): 0.260 eV/atom
data_La2CoW
_chemical_formula_sum 'La2 Co1 W1'
_space_group_name_H-M_alt 'P 1 m 1'
_space_group_IT_number 6
_space_group_name_Hall 'P -2y'
_cell_length_a 4.720
_cell_length_b 4.077
_cell_length_c 5.695
_cell_angle_alpha 90.00
_cell_angle_beta 114.38
_cell_angle_gamma 90.00
loop_
_atom_site_label
_atom_site_type_symbol
_atom_site_fract_x
_atom_site_fract_y
_atom_site_fract_z
La1 La 0.000 0.000 0.000
La2 La 0.305 0.500 0.610
Co1 Co 0.590 0.500 0.183
W1 W 0.699 0.000 0.395

6.
# La2CoW (PBE, relaxed)
# Energy relative to the lowest polymorph listed for this composition: 0.0000 eV/atom
# ΔH_f (0 K): 0.207 eV/atom
data_La2CoW
_chemical_formula_sum 'La6 Co3 W3'
_space_group_name_H-M_alt 'R 3 m'
_space_group_IT_number 160
_space_group_name_Hall 'R 3 -2"'
_cell_length_a 4.0487
_cell_length_b 4.0487
_cell_length_c 23.8461
_cell_angle_alpha 90.00
_cell_angle_beta 90.00
_cell_angle_gamma 120.00
loop_
_atom_site_label
_atom_site_type_symbol
_atom_site_fract_x
_atom_site_fract_y
_atom_site_fract_z
La1 La 0.0000 0.0000 0.0000
La2 La 0.0000 0.0000 0.1802
Co1 Co 0.0000 0.0000 0.4345
W1 W 0.0000 0.0000 0.7502

7.
# LaCoW2 (PBE, relaxed)
# Energy relative to the lowest polymorph listed for this composition: 0.4673 eV/atom
# ΔH_f (0 K): 0.920 eV/atom
data_LaCoW2
_chemical_formula_sum 'La2 Co2 W4'
_space_group_name_H-M_alt 'C m m m'
_space_group_IT_number 65
_space_group_name_Hall '-C 2 2'
_cell_length_a 5.252
_cell_length_b 10.032
_cell_length_c 2.775
_cell_angle_alpha 90.00
_cell_angle_beta 90.00
_cell_angle_gamma 90.00
loop_
_atom_site_label
_atom_site_type_symbol
_atom_site_fract_x
_atom_site_fract_y
_atom_site_fract_z
La1 La 0.000 0.000 0.000
Co1 Co 0.000 0.500 0.000
W1 W 0.250 0.250 0.500

8.
# LaCoW (PBE, relaxed)
# Energy relative to the lowest polymorph listed for this composition: 1.4585 eV/atom
# ΔH_f (0 K): 1.755 eV/atom
data_LaCoW
_chemical_formula_sum 'La4 Co4 W4'
_space_group_name_H-M_alt 'F -4 3 m'
_space_group_IT_number 216
_space_group_name_Hall 'F -4 2 3'
_cell_length_a 6.239
_cell_length_b 6.239
_cell_length_c 6.239
_cell_angle_alpha 90.00
_cell_angle_beta 90.00
_cell_angle_gamma 90.00
loop_
_atom_site_label
_atom_site_type_symbol
_atom_site_fract_x
_atom_site_fract_y
_atom_site_fract_z
La1 La 0.000 0.000 0.000
Co1 Co 0.250 0.250 0.250
W1 W 0.250 0.250 0.750